## ZnSnSeO (PBE)

Data for an optimized crystal structure of ZnSnSeO.

Unit cell a=7.568 b=16.079 c=5.704 alpha=90.00 beta=90.00 gamma=90.00
Sites, in units of the cell vectors:
Se (0.986, 0.114, 0.259)
O (0.770, 0.694, 0.760)
Zn (0.230, 0.301, 0.581)
Se (0.014, 0.614, 0.241)
Zn (0.730, 0.199, 0.419)
Sn (0.742, 0.424, 0.395)
Zn (0.730, 0.301, 0.919)
O (0.270, 0.694, 0.740)
Sn (0.258, 0.924, 0.105)
O (0.770, 0.806, 0.260)
O (0.730, 0.194, 0.760)
Se (0.514, 0.886, 0.759)
Sn (0.242, 0.424, 0.105)
O (0.730, 0.306, 0.260)
Sn (0.742, 0.076, 0.895)
Sn (0.758, 0.924, 0.395)
Se (0.514, 0.614, 0.259)
Se (0.486, 0.386, 0.741)
Sn (0.758, 0.576, 0.895)
O (0.230, 0.194, 0.740)
Zn (0.770, 0.801, 0.919)
Zn (0.230, 0.199, 0.081)
O (0.230, 0.306, 0.240)
Se (0.986, 0.386, 0.759)
Sn (0.242, 0.076, 0.605)
Se (0.014, 0.886, 0.741)
Zn (0.270, 0.801, 0.581)
Zn (0.270, 0.699, 0.081)
Zn (0.770, 0.699, 0.419)
Se (0.486, 0.114, 0.241)
O (0.270, 0.806, 0.240)
Sn (0.258, 0.576, 0.605)

## Properties
space-group type = Pbca
DFT total energy = -4.2695 eV per atom
V = 21.691 Å³ per atom
polymorph energy (0 for the lowest one) = 0.040 eV/atom

## ZnSnSeO (PBE)

Data for an optimized crystal structure of ZnSnSeO.

Unit cell a=8.874 b=8.874 c=5.877 alpha=90.00 beta=90.00 gamma=22.84
Sites, in units of the cell vectors:
Se (0.315, 0.315, 0.529)
Zn (0.346, 0.346, 0.930)
O (0.874, 0.874, 0.052)
Sn (0.922, 0.922, 0.382)
Zn (0.654, 0.654, 0.430)
Sn (0.078, 0.078, 0.882)
O (0.126, 0.126, 0.552)
Se (0.685, 0.685, 0.029)

## Properties
space-group type = Cmc2_1
DFT total energy = -4.1825 eV per atom
V = 22.461 Å³ per atom
polymorph energy (0 for the lowest one) = 0.127 eV/atom

## ZnSnSeO (PBE)

Data for an optimized crystal structure of ZnSnSeO.

Unit cell a=6.733 b=8.347 c=6.119 alpha=90.00 beta=90.00 gamma=90.00
Sites, in units of the cell vectors:
Se (0.893, 0.359, 0.629)
Se (0.607, 0.359, 0.129)
O (0.845, 0.774, 0.645)
Zn (0.537, 0.379, 0.524)
O (0.345, 0.226, 0.645)
Sn (0.883, 0.885, 0.953)
Zn (0.963, 0.379, 0.024)
Sn (0.117, 0.115, 0.453)
Se (0.107, 0.641, 0.129)
Zn (0.463, 0.621, 0.024)
Zn (0.037, 0.621, 0.524)
Se (0.393, 0.641, 0.629)
Sn (0.617, 0.885, 0.453)
Sn (0.383, 0.115, 0.953)
O (0.655, 0.774, 0.145)
O (0.155, 0.226, 0.145)

## Properties
space-group type = Pca2_1
DFT total energy = -4.3091 eV per atom
V = 21.492 Å³ per atom
polymorph energy (0 for the lowest one) = 0.000 eV/atom

## ZnSnSeO (PBE)

Data for an optimized crystal structure of ZnSnSeO.

Unit cell a=6.130 b=3.505 c=15.861 alpha=90.00 beta=90.00 gamma=90.00
Sites, in units of the cell vectors:
O (0.851, 0.250, 0.384)
O (0.351, 0.250, 0.116)
Sn (0.855, 0.750, 0.684)
Se (0.674, 0.250, 0.575)
Zn (0.778, 0.250, 0.911)
Zn (0.278, 0.250, 0.589)
Sn (0.355, 0.750, 0.816)
Se (0.174, 0.250, 0.925)
Zn (0.722, 0.750, 0.411)
Sn (0.645, 0.250, 0.184)
Se (0.326, 0.750, 0.425)
O (0.149, 0.750, 0.616)
Zn (0.222, 0.750, 0.089)
O (0.649, 0.750, 0.884)
Sn (0.145, 0.250, 0.316)
Se (0.826, 0.750, 0.075)

## Properties
space-group type = Pnma
DFT total energy = -4.1540 eV per atom
V = 21.298 Å³ per atom
polymorph energy (0 for the lowest one) = 0.155 eV/atom

## ZnSnSeO (PBE)

Data for an optimized crystal structure of ZnSnSeO.

Unit cell a=3.742 b=3.742 c=11.562 alpha=90.00 beta=90.00 gamma=90.00
Sites, in units of the cell vectors:
Se (0.750, 0.750, 0.858)
Zn (0.750, 0.250, 0.000)
Zn (0.250, 0.750, 0.000)
Sn (0.250, 0.250, 0.609)
O (0.750, 0.750, 0.570)
O (0.250, 0.250, 0.430)
Se (0.250, 0.250, 0.142)
Sn (0.750, 0.750, 0.391)

## Properties
space-group type = P4/nmm
DFT total energy = -4.1476 eV per atom
V = 20.242 Å³ per atom
polymorph energy (0 for the lowest one) = 0.161 eV/atom

## SrZnSe2O6 (PBE)

Data for an optimized crystal structure of SrZnSe2O6.

Unit cell a=4.420 b=14.635 c=9.384 alpha=90.00 beta=94.46 gamma=90.00
Sites, in units of the cell vectors:
Sr (0.755, 0.117, 0.466)
Sr (0.255, 0.383, 0.966)
O (0.648, 0.987, 0.208)
O (0.148, 0.513, 0.708)
Zn (0.739, 0.848, 0.218)
O (0.852, 0.487, 0.292)
O (0.905, 0.691, 0.260)
Se (0.260, 0.000, 0.213)
Zn (0.261, 0.152, 0.782)
Se (0.760, 0.500, 0.713)
Zn (0.761, 0.348, 0.282)
Zn (0.239, 0.652, 0.718)
Se (0.299, 0.806, 0.930)
Sr (0.245, 0.883, 0.534)
Se (0.201, 0.306, 0.570)
O (0.797, 0.311, 0.074)
O (0.850, 0.296, 0.474)
Se (0.701, 0.194, 0.070)
O (0.188, 0.883, 0.231)
O (0.150, 0.704, 0.526)
Se (0.799, 0.694, 0.430)
O (0.235, 0.035, 0.387)
Sr (0.745, 0.617, 0.034)
Se (0.740, 0.000, 0.787)
O (0.405, 0.809, 0.760)
O (0.650, 0.796, 0.026)
O (0.688, 0.617, 0.731)
O (0.297, 0.189, 0.574)
O (0.595, 0.191, 0.240)
O (0.265, 0.535, 0.113)
O (0.203, 0.689, 0.926)
O (0.735, 0.465, 0.887)
O (0.095, 0.309, 0.740)
O (0.812, 0.117, 0.769)
O (0.350, 0.204, 0.974)
O (0.765, 0.965, 0.613)
O (0.352, 0.013, 0.792)
O (0.703, 0.811, 0.426)
O (0.312, 0.383, 0.269)
Se (0.240, 0.500, 0.287)

## Properties
space-group type = P2_1/c
DFT total energy = -5.4562 eV per atom
V = 15.129 Å³ per atom